## LaDyMnAl (PBE-GGA)

Data for a relaxed structure of LaDyMnAl.

raw total energy	-5.64	eV per atom
ΔE_f	-0.0279	eV/atom

Cell lengths 5.2072, 5.2072, 5.2072 Å; angles 60.00, 60.00, 60.00 degrees
Site moments in Bohr magnetons follow the coordinates.
Fractional coordinates of all 4 atoms:
Dy  0.2500  0.2500  0.2500  -0.28
Al  0.5000  0.5000  0.5000  0.01
La  0.7500  0.7500  0.7500  -0.14
Mn  0.0000  0.0000  0.0000  3.63

---

## LaNdDyAl (PBE-GGA)

Data for a relaxed structure of LaNdDyAl.

raw total energy	-4.57	eV per atom
ΔE_f	-0.0643	eV/atom

Cell lengths 5.4986, 5.4986, 5.4986 Å; angles 60.00, 60.00, 60.00 degrees
Fractional coordinates of all 4 atoms:
Nd  0.0000  0.0000  0.0000
La  0.5000  0.5000  0.5000
Dy  0.7500  0.7500  0.7500
Al  0.2500  0.2500  0.2500

---

## La2DyAl12Ni3 (PBE-GGA)

Data for a relaxed structure of La2DyAl12Ni3.

raw total energy	-4.32	eV per atom
ΔE_f	-0.0598	eV/atom

Cell lengths 7.9401, 7.9401, 7.9401 Å; angles 64.51, 64.51, 64.51 degrees
Fractional coordinates of all 18 atoms:
Al  0.1060  0.7210  0.7210
Al  0.1638  0.5284  0.1638
Ni  0.5000  0.0000  0.0000
Al  0.4716  0.8362  0.8362
Al  0.8362  0.8362  0.4716
Dy  0.0000  0.0000  0.0000
Ni  0.0000  0.0000  0.5000
Al  0.8940  0.2790  0.2790
Al  0.8362  0.4716  0.8362
Al  0.7210  0.1060  0.7210
Al  0.5284  0.1638  0.1638
La  0.5806  0.5806  0.5806
Ni  0.0000  0.5000  0.0000
Al  0.7210  0.7210  0.1060
La  0.4194  0.4194  0.4194
Al  0.2790  0.8940  0.2790
Al  0.1638  0.1638  0.5284
Al  0.2790  0.2790  0.8940

---

## LaDyAl2Pd5 (PBE-GGA)

Data for a relaxed structure of LaDyAl2Pd5.

raw total energy	-5.58	eV per atom
ΔE_f	-0.8051	eV/atom

Cell lengths 4.3072, 4.3072, 9.2247 Å; angles 90.00, 90.00, 90.00 degrees
Fractional coordinates of all 9 atoms:
Pd  0.5000  0.0000  0.2693
Dy  0.0000  0.0000  0.0000
Pd  0.5000  0.0000  0.7307
Al  0.5000  0.5000  0.8601
La  0.0000  0.0000  0.5000
Pd  0.5000  0.5000  0.5000
Pd  0.0000  0.5000  0.7307
Al  0.5000  0.5000  0.1399
Pd  0.0000  0.5000  0.2693